1.
Density functional theory data (SCAN) for a crystal of Pb3ICl relaxed with PBEsol.

a b c (Å): 5.939 5.939 5.939
angles (deg): 90.00 90.00 90.00
Positions (direct):
Pb 0.000 0.500 0.000
Pb 0.000 0.000 0.500
Pb 0.500 0.000 0.000
I 0.000 0.000 0.000
Cl 0.500 0.500 0.500

Calculated values
- Energy relative to the elements, uncorrected: 0.545 eV per atom
- Volume: 41.889 Å³/atom
- Space group: Pm-3m (221)

***

2.
Density functional theory data (SCAN) for a crystal of SiPt2Rh relaxed with PBEsol.

a b c (Å): 2.812 3.648 5.703
angles (deg): 90.00 104.27 90.00
Positions (direct):
Pt 0.817 0.000 0.635
Pt 0.182 0.500 0.364
Rh 0.539 0.000 0.078
Si 0.961 0.500 0.922

Calculated values
- Energy relative to the elements, uncorrected: -0.523 eV per atom
- Volume: 14.173 Å³/atom
- Space group: Amm2 (38)

***

3.
Density functional theory data (SCAN) for a crystal of Be2SbTe relaxed with PBEsol.

a b c (Å): 3.677 3.677 6.528
angles (deg): 73.64 73.64 60.00
Positions (direct):
Sb 0.500 0.500 0.500
Te 0.000 0.000 0.000
Be 0.251 0.251 0.248
Be 0.749 0.749 0.752

Calculated values
- Energy relative to the elements, uncorrected: 0.268 eV per atom
- Volume: 18.072 Å³/atom
- ΔE to the lowest computed polymorph: 0.284 eV/atom
- Space group: R-3m (166)

***

4.
Density functional theory data (SCAN) for a crystal of Ca2MgPd2 relaxed with PBEsol.

a b c (Å): 3.798 3.798 9.201
angles (deg): 101.91 101.91 90.00
Positions (direct):
Ca 0.372 0.372 0.743
Ca 0.628 0.628 0.257
Mg 0.000 0.000 0.000
Pd 0.250 0.750 0.500
Pd 0.750 0.250 0.500

Calculated values
- Volume: 25.384 Å³/atom
- Space group: I4/mmm (139)
- Energy relative to the elements: -0.25 eV/atom

***

5.
Density functional theory data (SCAN) for a crystal of BaBeSb2I relaxed with PBEsol.

a b c (Å): 4.856 4.856 6.396
angles (deg): 90.00 90.00 90.00
Positions (direct):
I 0.000 0.000 0.500
Sb 0.000 0.500 0.000
Sb 0.500 0.000 0.000
Ba 0.500 0.500 0.500
Be 0.000 0.000 0.000

Calculated values
- Energy relative to the elements, uncorrected: -0.382 eV per atom
- Volume: 30.169 Å³/atom
- Space group: P4/mmm (123)

***

6.
Density functional theory data (SCAN) for a crystal of Nd4Au2O9 relaxed with PBEsol.

a b c (Å): 6.114 11.871 11.910
angles (deg): 90.00 90.00 90.00
Positions (direct):
Nd 0.742 0.012 0.089
Nd 0.742 0.988 0.411
Nd 0.758 0.488 0.589
Nd 0.758 0.512 0.911
Nd 0.258 0.988 0.911
Nd 0.258 0.012 0.589
Nd 0.242 0.512 0.411
Nd 0.242 0.488 0.089
Nd 0.802 0.341 0.264
Nd 0.802 0.659 0.236
Nd 0.698 0.159 0.764
Nd 0.698 0.841 0.736
Nd 0.198 0.659 0.736
Nd 0.198 0.341 0.764
Nd 0.302 0.841 0.236
Nd 0.302 0.159 0.264
Au 0.581 0.272 0.011
Au 0.581 0.728 0.489
Au 0.919 0.228 0.511
Au 0.919 0.772 0.989
Au 0.419 0.728 0.989
Au 0.419 0.272 0.511
Au 0.081 0.772 0.489
Au 0.081 0.228 0.011
O 0.942 0.384 0.446
O 0.942 0.616 0.054
O 0.558 0.116 0.946
O 0.558 0.884 0.554
O 0.058 0.616 0.554
O 0.058 0.384 0.946
O 0.442 0.884 0.054
O 0.442 0.116 0.446
O 0.940 0.163 0.353
O 0.940 0.837 0.147
O 0.560 0.337 0.853
O 0.560 0.663 0.647
O 0.060 0.837 0.647
O 0.060 0.163 0.853
O 0.624 0.198 0.158
O 0.440 0.663 0.147
O 0.614 0.423 0.088
O 0.614 0.577 0.412
O 0.886 0.077 0.588
O 0.886 0.923 0.912
O 0.386 0.577 0.912
O 0.386 0.423 0.588
O 0.114 0.923 0.412
O 0.114 0.077 0.088
O 0.024 0.500 0.250
O 0.476 0.000 0.750
O 0.976 0.500 0.750
O 0.524 0.000 0.250
O 0.124 0.302 0.158
O 0.124 0.698 0.342
O 0.376 0.198 0.658
O 0.376 0.802 0.842
O 0.876 0.698 0.842
O 0.876 0.302 0.658
O 0.624 0.802 0.342
O 0.440 0.337 0.353

Calculated values
- Energy relative to the elements, uncorrected: -2.654 eV per atom
- Volume: 14.407 Å³/atom
- Space group: Pbcn (60)

***

7.
Density functional theory data (SCAN) for a crystal of MgBe2In2 relaxed with PBEsol.

a b c (Å): 3.862 3.862 6.572
angles (deg): 107.09 107.09 90.00
Positions (direct):
Be 0.250 0.750 0.500
Be 0.750 0.250 0.500
Mg 0.000 0.000 0.000
In 0.382 0.382 0.764
In 0.618 0.618 0.236

Calculated values
- Volume: 17.833 Å³/atom
- Space group: I4/mmm (139)
- Energy relative to the elements: 0.26 eV/atom

***

8.
Density functional theory data (SCAN) for a crystal of TlP2Se relaxed with PBEsol.

a b c (Å): 3.847 3.847 6.630
angles (deg): 73.14 73.14 60.00
Positions (direct):
P 0.242 0.242 0.274
P 0.758 0.758 0.726
Se 0.500 0.500 0.500
Tl 0.000 0.000 0.000

Calculated values
- Energy relative to the elements, uncorrected: 0.449 eV per atom
- Volume: 20.018 Å³/atom
- ΔE to the lowest computed polymorph: 0.389 eV/atom
- Space group: R-3m (166)

***

9.
Density functional theory data (SCAN) for a crystal of AsSeBr2Cl relaxed with PBEsol.

a b c (Å): 5.102 5.102 5.243
angles (deg): 90.00 90.00 90.00
Each line ends with the local moment (μB).
Positions (direct):
As 0.000 0.000 0.500  0.60
Se 0.000 0.000 0.000  -0.09
Br 0.000 0.500 0.000  0.03
Br 0.500 0.000 0.000  0.03
Cl 0.500 0.500 0.500  -0.08

Calculated values
- Energy relative to the elements, uncorrected: 0.415 eV per atom
- Volume: 27.293 Å³/atom
- Space group: P4/mmm (123)

***

10.
Density functional theory data (SCAN) for a crystal of Na2HgRh relaxed with PBEsol.

a b c (Å): 4.735 4.735 4.735
angles (deg): 60.00 60.00 60.00
Positions (direct):
Na 0.250 0.250 0.250
Na 0.750 0.750 0.750
Rh 0.000 0.000 0.000
Hg 0.500 0.500 0.500

Calculated values
- Volume: 18.762 Å³/atom
- Space group: Fm-3m (225)
- Energy relative to the elements: 0.24 eV/atom

***

11.
Density functional theory data (SCAN) for a crystal of Li2InSi relaxed with PBEsol.

a b c (Å): 2.793 4.100 5.766
angles (deg): 90.00 90.00 90.00
Positions (direct):
Si 0.500 0.500 0.000
In 0.500 0.500 0.500
Li 0.000 0.000 0.778
Li 0.000 0.000 0.222

Calculated values
- Energy relative to the elements, uncorrected: -0.169 eV per atom
- Volume: 16.508 Å³/atom
- Space group: Pmmm (47)

***

12.
Density functional theory data (SCAN) for a crystal of Y2Zn2Sn relaxed with PBEsol.

a b c (Å): 4.408 7.028 7.028
angles (deg): 90.00 90.00 90.00
Positions (direct):
Y 0.500 0.172 0.672
Y 0.500 0.672 0.828
Y 0.500 0.828 0.328
Y 0.500 0.328 0.172
Zn 0.000 0.377 0.877
Zn 0.000 0.877 0.623
Zn 0.000 0.623 0.123
Zn 0.000 0.123 0.377
Sn 0.000 0.000 0.000
Sn 0.000 0.500 0.500

Calculated values
- Volume: 21.773 Å³/atom
- Space group: P4/mbm (127)
- Energy relative to the elements: -0.65 eV/atom

***

no.,E (eV/atom)
1,-53.867
2,-46.566
3,-20.537
4,-18.222
5,-31.415
6,-27.236
7,-15.832
8,-27.859
9,-17.018
10,-27.351
11,-12.214
12,-24.375